The following is a GGA-PBE calculation of a relaxed structure of MoAsPtBr2, from the Alexandria database.

a b c (Å): 5.279 5.279 4.793
angles (deg): 90.00 90.00 90.00
Atoms (fractional coordinates):
Mo1 0.000 0.000 0.000
As1 0.500 0.500 0.000
Pt1 0.500 0.500 0.500
Br1 0.000 0.500 0.500
Br2 0.500 0.000 0.500

- E_form (uncorrected): 0.930 eV per atom
- Symmetry: P4/mmm, No. 123
- Relative energy among the computed polymorphs: 0.042 eV per atom